BaInW: relaxed, PBE.

## Properties
E_form = 19.87 kcal/mol of atoms
total magnetic moment = 0.00 Bohr magnetons per cell

a = 6.6984 Å, b = 6.6984 Å, c = 6.6984 Å
α = 152.41°, β = 143.31°, γ = 46.52°
Closest atoms and distances in Å follow each position.
Positions (direct):
Ba 0.0000 0.0000 0.0000  2 Ba 3.19, 1 In 3.47
In 0.7183 0.7183 0.0000  4 W 2.84
W 0.3019 0.3019 0.0000  4 In 2.84



Ba2InW: relaxed, PBE.

## Properties
E_form = 16.83 kcal/mol of atoms
total magnetic moment = 0.00 Bohr magnetons per cell

a = 6.6773 Å, b = 6.6773 Å, c = 6.1668 Å
α = 106.28°, β = 106.28°, γ = 28.67°
Closest atoms and distances in Å follow each position.
Positions (direct):
Ba 0.0000 0.0000 0.0000  2 Ba 3.31, 3 W 3.56-3.58, 4 In 3.62-3.67
Ba 0.1847 0.1847 0.6225  2 Ba 3.31, 3 In 3.50-3.69, 4 W 3.57-3.65
In 0.4184 0.4184 0.4453  2 W 2.85
W 0.7564 0.7564 0.1578  2 In 2.85



BaIn2W: relaxed, PBE.

## Properties
E_form = 22.17 kcal/mol of atoms
total magnetic moment = 3.81 Bohr magnetons per cell

a = 5.4370 Å, b = 5.4370 Å, c = 5.4370 Å
α = 60.00°, β = 60.00°, γ = 60.00°
Closest atoms and distances in Å follow each position.
Positions (direct):
Ba 0.0000 0.0000 0.0000  4 In 3.33, 4 W 3.33
In 0.2500 0.2500 0.2500  4 Ba 3.33, 4 In 3.33
In 0.5000 0.5000 0.5000  4 In 3.33, 4 W 3.33
W 0.7500 0.7500 0.7500  4 In 3.33, 4 Ba 3.33



BaIn2W: relaxed, PBE.

## Properties
E_form = 12.49 kcal/mol of atoms
total magnetic moment = 0.00 Bohr magnetons per cell

a = 5.0847 Å, b = 5.0847 Å, c = 7.1355 Å
α = 95.98°, β = 95.98°, γ = 35.52°
Closest atoms and distances in Å follow each position.
Positions (direct):
Ba 0.0000 0.0000 0.0000  2 Ba 3.10, 2 In 3.40
In 0.2370 0.2370 0.6826  3 W 2.95-2.99, 4 In 3.07-3.10
In 0.7630 0.7630 0.3174  3 W 2.95-2.99, 4 In 3.07-3.10
W 0.5000 0.5000 0.5000  6 In 2.95-2.99, 2 W 3.10



BaInW2: relaxed, PBE.

## Properties
E_form = 28.14 kcal/mol of atoms
total magnetic moment = 0.00 Bohr magnetons per cell

a = 2.9135 Å, b = 2.9135 Å, c = 10.4240 Å
α = 90.00°, β = 90.00°, γ = 90.00°
Closest atoms and distances in Å follow each position.
Positions (direct):
Ba 0.0000 0.0000 0.0000  4 Ba 2.91
In 0.0000 0.0000 0.5000  4 In 2.91, 8 W 3.02
W 0.5000 0.5000 0.2881  4 W 2.91, 4 In 3.02
W 0.5000 0.5000 0.7119  4 W 2.91, 4 In 3.02



Ba2InW: relaxed, PBE.

## Properties
E_form = 21.59 kcal/mol of atoms
total magnetic moment = 0.98 Bohr magnetons per cell

a = 3.3034 Å, b = 4.7986 Å, c = 8.0710 Å
α = 90.00°, β = 90.00°, γ = 90.00°
Closest atoms and distances in Å follow each position.
Positions (direct):
Ba 0.0000 0.0000 0.2332  2 Ba 3.30, 4 W 3.47, 4 In 3.62
Ba 0.0000 0.0000 0.7668  2 Ba 3.30, 4 W 3.47, 4 In 3.62
In 0.5000 0.5000 0.5000  2 In 3.30, 8 Ba 3.62
W 0.5000 0.5000 0.0000  2 W 3.30, 8 Ba 3.47



BaIn2W: relaxed, PBE.

## Properties
E_form = 15.32 kcal/mol of atoms
total magnetic moment = 0.00 Bohr magnetons per cell

a = 6.7359 Å, b = 6.7359 Å, c = 6.7359 Å
α = 153.30°, β = 126.58°, γ = 60.71°
Closest atoms and distances in Å follow each position.
Positions (direct):
Ba 0.0000 0.0000 0.0000  2 Ba 3.11, 4 W 3.40
In 0.2911 0.7911 0.5000  2 W 2.88, 2 In 3.11
In 0.7089 0.2089 0.5000  2 W 2.88, 2 In 3.11
W 0.5000 0.5000 0.0000  4 In 2.88, 2 W 3.11



Ba2InW: relaxed, PBE.

## Properties
E_form = 24.74 kcal/mol of atoms
total magnetic moment = 1.32 Bohr magnetons per cell

a = 5.2611 Å, b = 5.2611 Å, c = 8.3110 Å
α = 94.93°, β = 94.93°, γ = 35.81°
Closest atoms and distances in Å follow each position.
Positions (direct):
Ba 0.2481 0.2481 0.2267  2 Ba 3.24, 3 W 3.28-3.39, 3 In 3.51-3.62
Ba 0.7519 0.7519 0.7733  2 Ba 3.24, 3 W 3.28-3.39, 3 In 3.51-3.62
In 0.0000 0.0000 0.5000  2 In 3.24, 6 Ba 3.51-3.62
W 0.5000 0.5000 0.0000  2 W 3.24, 6 Ba 3.28-3.39



BaIn2W: relaxed, PBE.

## Properties
E_form = 12.36 kcal/mol of atoms
total magnetic moment = 0.13 Bohr magnetons per cell

a = 3.1503 Å, b = 4.7186 Å, c = 7.6648 Å
α = 90.00°, β = 90.00°, γ = 90.00°
Closest atoms and distances in Å follow each position.
Positions (direct):
Ba 0.0000 0.0000 0.0000  2 Ba 3.15, 2 In 3.49
In 0.5000 0.0000 0.4056  4 W 2.84, 2 In 3.15
In 0.5000 0.5000 0.6976  2 W 2.86, 2 In 3.15
W 0.0000 0.5000 0.3856  6 In 2.84-2.86, 2 W 3.15



BaIn2W: relaxed, PBE.

## Properties
E_form = 18.63 kcal/mol of atoms
total magnetic moment = 3.99 Bohr magnetons per cell

a = 10.1174 Å, b = 10.1174 Å, c = 10.1174 Å
α = 147.75°, β = 147.75°, γ = 46.26°
Closest atoms and distances in Å follow each position.
Positions (direct):
Ba 0.0000 0.0000 0.0000  4 In 3.64, 4 W 3.97
Ba 0.7500 0.2500 0.5000  4 In 3.64, 4 W 3.97
In 0.3049 0.6250 0.1799  2 W 2.75, 2 In 2.92
In 0.3750 0.5549 0.6799  2 W 2.75, 2 In 2.92
In 0.4451 0.1250 0.8201  2 W 2.75, 2 In 2.92
In 0.8750 0.6951 0.3201  2 W 2.75, 2 In 2.92
W 0.2500 0.7500 0.5000  4 In 2.75
W 0.5000 0.5000 0.0000  4 In 2.75



BaIn2W: relaxed, PBE.

## Properties
E_form = 17.11 kcal/mol of atoms
total magnetic moment = 3.31 Bohr magnetons per cell

a = 5.3495 Å, b = 5.3495 Å, c = 5.3495 Å
α = 60.00°, β = 60.00°, γ = 60.00°
Closest atoms and distances in Å follow each position.
Positions (direct):
Ba 0.0000 0.0000 0.0000  8 In 3.28
In 0.2500 0.2500 0.2500  4 W 3.28, 4 Ba 3.28
In 0.7500 0.7500 0.7500  4 W 3.28, 4 Ba 3.28
W 0.5000 0.5000 0.5000  8 In 3.28



Ba2InW: relaxed, PBE.

## Properties
E_form = 20.76 kcal/mol of atoms
total magnetic moment = 3.47 Bohr magnetons per cell

a = 5.8776 Å, b = 5.8776 Å, c = 4.0511 Å
α = 90.00°, β = 90.00°, γ = 90.26°
Closest atoms and distances in Å follow each position.
Positions (direct):
Ba 0.0000 0.5000 0.0000  4 W 3.57, 4 In 3.57
Ba 0.5000 0.0000 0.0000  4 W 3.57, 4 In 3.57
In 0.0000 0.0000 0.5000  8 Ba 3.57
W 0.5000 0.5000 0.5000  8 Ba 3.57



What is the E_form in the eleventh record?
17.11 kcal/mol of atoms



Copy entry 7 word for word.
BaIn2W: relaxed, PBE.

## Properties
E_form = 15.32 kcal/mol of atoms
total magnetic moment = 0.00 Bohr magnetons per cell

a = 6.7359 Å, b = 6.7359 Å, c = 6.7359 Å
α = 153.30°, β = 126.58°, γ = 60.71°
Closest atoms and distances in Å follow each position.
Positions (direct):
Ba 0.0000 0.0000 0.0000  2 Ba 3.11, 4 W 3.40
In 0.2911 0.7911 0.5000  2 W 2.88, 2 In 3.11
In 0.7089 0.2089 0.5000  2 W 2.88, 2 In 3.11
W 0.5000 0.5000 0.0000  4 In 2.88, 2 W 3.11



Number 5 is which compound?
BaInW2